## NbTcP3 (SCAN)

Data for a PBEsol-optimized structure of NbTcP3.

Cell: 4.5205 4.5205 4.5205 Å, 90.00 90.00 90.00°
Closest atoms and distances in Å follow each position.
Sites, in units of the cell vectors:
Nb 0.0000 0.0000 0.0000  12 P 3.20
Tc 0.5000 0.5000 0.5000  6 P 2.26
P 0.0000 0.5000 0.5000  2 Tc 2.26
P 0.5000 0.0000 0.5000  2 Tc 2.26
P 0.5000 0.5000 0.0000  2 Tc 2.26

## Nb3TeP (SCAN)

Data for a PBEsol-optimized structure of Nb3TeP.

Cell: 4.9635 4.9635 4.9635 Å, 90.00 90.00 90.00°
Closest atoms and distances in Å follow each position.
Sites, in units of the cell vectors:
Nb 0.0000 0.0000 0.5000  2 Te 2.48
Nb 0.0000 0.5000 0.0000  2 Te 2.48
Nb 0.5000 0.0000 0.0000  2 Te 2.48
Te 0.0000 0.0000 0.0000  6 Nb 2.48
P 0.5000 0.5000 0.5000  12 Nb 3.51

E_form (uncorrected) in eV per atom: 1.671

## TiNbP3 (SCAN)

Data for a PBEsol-optimized structure of TiNbP3.

Cell: 4.7234 4.7234 4.7234 Å, 90.00 90.00 90.00°
Closest atoms and distances in Å follow each position.
Sites, in units of the cell vectors:
Ti 0.0000 0.0000 0.0000  12 P 3.34
Nb 0.5000 0.5000 0.5000  6 P 2.36
P 0.0000 0.5000 0.5000  2 Nb 2.36
P 0.5000 0.0000 0.5000  2 Nb 2.36
P 0.5000 0.5000 0.0000  2 Nb 2.36

## Nb3TlP (SCAN)

Data for a PBEsol-optimized structure of Nb3TlP.

Cell: 4.6213 4.6213 4.6213 Å, 90.00 90.00 90.00°
Closest atoms and distances in Å follow each position.
Sites, in units of the cell vectors:
Nb 0.0000 0.0000 0.5000  2 P 2.31
Nb 0.0000 0.5000 0.0000  2 P 2.31
Nb 0.5000 0.0000 0.0000  2 P 2.31
Tl 0.5000 0.5000 0.5000  12 Nb 3.27
P 0.0000 0.0000 0.0000  6 Nb 2.31

## NbVP (SCAN)

Data for a PBEsol-optimized structure of NbVP.

Cell: 6.3742 3.3830 7.6467 Å, 90.00 90.00 90.00°
Closest atoms and distances in Å follow each position.
Sites, in units of the cell vectors:
Nb 0.0377 0.2500 0.1682  5 P 2.56-2.75, 2 V 2.81
Nb 0.4623 0.7500 0.6682  5 P 2.56-2.75, 2 V 2.81
Nb 0.5377 0.2500 0.3318  5 P 2.56-2.75, 2 V 2.81
Nb 0.9623 0.7500 0.8318  5 P 2.56-2.75, 2 V 2.81
V 0.1361 0.2500 0.5575  4 P 2.36-2.47, 2 V 2.58
V 0.3639 0.7500 0.0575  4 P 2.36-2.47, 2 V 2.58
V 0.6361 0.2500 0.9425  4 P 2.36-2.47, 2 V 2.58
V 0.8639 0.7500 0.4425  4 P 2.36-2.47, 2 V 2.58
P 0.2389 0.7500 0.3610  4 V 2.36-2.47, 4 Nb 2.56-2.58
P 0.2611 0.2500 0.8610  4 V 2.36-2.47, 4 Nb 2.56-2.58
P 0.7389 0.7500 0.1390  4 V 2.36-2.47, 4 Nb 2.56-2.58
P 0.7611 0.2500 0.6390  4 V 2.36-2.47, 4 Nb 2.56-2.58

## NbP2W (SCAN)

Data for a PBEsol-optimized structure of NbP2W.

Cell: 6.0751 6.0751 6.0751 Å, 90.00 90.00 90.00°
Closest atoms and distances in Å follow each position.
Sites, in units of the cell vectors:
Nb 0.0000 0.0000 0.0000  8 P 2.63
Nb 0.0000 0.5000 0.5000  8 P 2.63
Nb 0.5000 0.0000 0.5000  8 P 2.63
Nb 0.5000 0.5000 0.0000  8 P 2.63
P 0.2500 0.2500 0.2500  4 Nb 2.63, 4 W 2.63
P 0.2500 0.2500 0.7500  4 W 2.63, 4 Nb 2.63
P 0.2500 0.7500 0.2500  4 W 2.63, 4 Nb 2.63
P 0.2500 0.7500 0.7500  4 Nb 2.63, 4 W 2.63
P 0.7500 0.2500 0.2500  4 W 2.63, 4 Nb 2.63
P 0.7500 0.2500 0.7500  4 Nb 2.63, 4 W 2.63
P 0.7500 0.7500 0.2500  4 Nb 2.63, 4 W 2.63
P 0.7500 0.7500 0.7500  4 W 2.63, 4 Nb 2.63
W 0.0000 0.0000 0.5000  8 P 2.63
W 0.0000 0.5000 0.0000  8 P 2.63
W 0.5000 0.0000 0.0000  8 P 2.63
W 0.5000 0.5000 0.5000  8 P 2.63

## YNbP2 (SCAN)

Data for a PBEsol-optimized structure of YNbP2.

Cell: 5.8371 5.8371 11.7652 Å, 90.00 90.00 90.00°
Closest atoms and distances in Å follow each position.
Sites, in units of the cell vectors:
Y 0.0000 0.0000 0.0000  4 P 2.69
Y 0.0000 0.5000 0.2500  4 P 2.69
Y 0.5000 0.0000 0.7500  4 P 2.69
Y 0.5000 0.5000 0.5000  4 P 2.69
Nb 0.0000 0.0000 0.5000  4 P 2.40
Nb 0.0000 0.5000 0.7500  4 P 2.40
Nb 0.5000 0.0000 0.2500  4 P 2.40
Nb 0.5000 0.5000 0.0000  4 P 2.40
P 0.2070 0.2500 0.6250  2 Nb 2.40
P 0.2500 0.7070 0.8750  2 Nb 2.40
P 0.2500 0.7930 0.3750  2 Nb 2.40
P 0.2930 0.2500 0.1250  2 Nb 2.40
P 0.7070 0.7500 0.1250  2 Nb 2.40
P 0.7500 0.2070 0.3750  2 Nb 2.40
P 0.7500 0.2930 0.8750  2 Nb 2.40
P 0.7930 0.7500 0.6250  2 Nb 2.40

## Nb3ZnP (SCAN)

Data for a PBEsol-optimized structure of Nb3ZnP.

Cell: 4.5750 4.5750 4.5750 Å, 90.00 90.00 90.00°
Closest atoms and distances in Å follow each position.
Sites, in units of the cell vectors:
Nb 0.0000 0.0000 0.5000  2 P 2.29
Nb 0.0000 0.5000 0.0000  2 P 2.29
Nb 0.5000 0.0000 0.0000  2 P 2.29
Zn 0.5000 0.5000 0.5000  12 Nb 3.24
P 0.0000 0.0000 0.0000  6 Nb 2.29

## ZrNbP (SCAN)

Data for a PBEsol-optimized structure of ZrNbP.

Cell: 6.8421 3.5462 8.2577 Å, 90.00 90.00 90.00°
Closest atoms and distances in Å follow each position.
Sites, in units of the cell vectors:
Zr 0.0354 0.2500 0.1691  5 P 2.70-3.00, 2 Nb 2.99
Zr 0.4646 0.7500 0.6691  5 P 2.70-3.00, 2 Nb 2.99
Zr 0.5354 0.2500 0.3309  5 P 2.70-3.00, 2 Nb 2.99
Zr 0.9646 0.7500 0.8309  5 P 2.70-3.00, 2 Nb 2.99
Nb 0.1388 0.2500 0.5600  4 P 2.53-2.68, 2 Nb 2.78
Nb 0.3612 0.7500 0.0600  4 P 2.53-2.68, 2 Nb 2.78
Nb 0.6388 0.2500 0.9400  4 P 2.53-2.68, 2 Nb 2.78
Nb 0.8612 0.7500 0.4400  4 P 2.53-2.68, 2 Nb 2.78
P 0.2398 0.7500 0.3578  4 Nb 2.53-2.68, 4 Zr 2.70-2.74
P 0.2602 0.2500 0.8578  4 Nb 2.53-2.68, 4 Zr 2.70-2.74
P 0.7398 0.7500 0.1422  4 Nb 2.53-2.68, 4 Zr 2.70-2.74
P 0.7602 0.2500 0.6422  4 Nb 2.53-2.68, 4 Zr 2.70-2.74

## NbPdPb2 (SCAN)

Data for a PBEsol-optimized structure of NbPdPb2.

Cell: 6.8583 6.8583 6.8583 Å, 90.00 90.00 90.00°
Closest atoms and distances in Å follow each position.
Sites, in units of the cell vectors:
Nb 0.0000 0.0000 0.0000  8 Pb 2.97
Nb 0.0000 0.5000 0.5000  8 Pb 2.97
Nb 0.5000 0.0000 0.5000  8 Pb 2.97
Nb 0.5000 0.5000 0.0000  8 Pb 2.97
Pd 0.0000 0.0000 0.5000  8 Pb 2.97
Pd 0.0000 0.5000 0.0000  8 Pb 2.97
Pd 0.5000 0.0000 0.0000  8 Pb 2.97
Pd 0.5000 0.5000 0.5000  8 Pb 2.97
Pb 0.2500 0.2500 0.2500  4 Pd 2.97, 4 Nb 2.97
Pb 0.2500 0.2500 0.7500  4 Nb 2.97, 4 Pd 2.97
Pb 0.2500 0.7500 0.2500  4 Nb 2.97, 4 Pd 2.97
Pb 0.2500 0.7500 0.7500  4 Nb 2.97, 4 Pd 2.97
Pb 0.7500 0.2500 0.2500  4 Nb 2.97, 4 Pd 2.97
Pb 0.7500 0.2500 0.7500  4 Nb 2.97, 4 Pd 2.97
Pb 0.7500 0.7500 0.2500  4 Nb 2.97, 4 Pd 2.97
Pb 0.7500 0.7500 0.7500  4 Nb 2.97, 4 Pd 2.97

## NbPtPbS2 (SCAN)

Data for a PBEsol-optimized structure of NbPtPbS2.

Cell: 4.8497 4.8497 5.4827 Å, 90.00 90.00 90.00°
Closest atoms and distances in Å follow each position.
Sites, in units of the cell vectors:
Nb 0.0000 0.0000 0.0000  2 Pb 2.74
Pt 0.5000 0.5000 0.0000  4 Nb 3.43, 8 S 3.66
Pb 0.0000 0.0000 0.5000  4 S 2.42
S 0.0000 0.5000 0.5000  2 Pb 2.42
S 0.5000 0.0000 0.5000  2 Pb 2.42

E_form (uncorrected) in eV per atom: 1.710

## NbPbS3 (SCAN)

Data for a PBEsol-optimized structure of NbPbS3.

Cell: 4.9771 4.9771 4.9771 Å, 90.00 90.00 90.00°
Closest atoms and distances in Å follow each position.
Sites, in units of the cell vectors:
Nb 0.0000 0.0000 0.0000  12 S 3.52
Pb 0.5000 0.5000 0.5000  6 S 2.49
S 0.0000 0.5000 0.5000  2 Pb 2.49
S 0.5000 0.0000 0.5000  2 Pb 2.49
S 0.5000 0.5000 0.0000  2 Pb 2.49

E_form (uncorrected) in eV per atom: 0.865

## ScNbPb3 (SCAN)

Data for a PBEsol-optimized structure of ScNbPb3.

Cell: 5.3695 5.3695 5.3695 Å, 90.00 90.00 90.00°
Closest atoms and distances in Å follow each position.
Sites, in units of the cell vectors:
Sc 0.0000 0.0000 0.0000  6 Pb 2.68
Nb 0.5000 0.5000 0.5000  12 Pb 3.80
Pb 0.0000 0.0000 0.5000  2 Sc 2.68
Pb 0.0000 0.5000 0.0000  2 Sc 2.68
Pb 0.5000 0.0000 0.0000  2 Sc 2.68

Number 1: Fermi-level density of states 3.2 states/eV per cell, total energy -19.092 eV/atom. Number 2: Fermi-level density of states 4.3 states/eV per cell, total energy -27.737 eV/atom. Number 3: Fermi-level density of states 2.9 states/eV per cell, total energy -15.686 eV/atom. Number 4: Fermi-level density of states 9.0 states/eV per cell, total energy -36.204 eV/atom. Number 5: Fermi-level density of states 6.9 states/eV per cell, total energy -21.300 eV/atom. Number 6: Fermi-level density of states 16.3 states/eV per cell, total energy -31.162 eV/atom. Number 7: Fermi-level density of states 11.6 states/eV per cell, total energy -21.089 eV/atom. Number 8: Fermi-level density of states 7.3 states/eV per cell, total energy -24.353 eV/atom. Number 9: Fermi-level density of states 4.7 states/eV per cell, total energy -25.931 eV/atom. Number 10: Fermi-level density of states 10.6 states/eV per cell, total energy -54.075 eV/atom. Number 11: Fermi-level density of states 3.2 states/eV per cell, total energy -37.962 eV/atom. Number 12: Fermi-level density of states 4.2 states/eV per cell, total energy -26.694 eV/atom. Number 13: Fermi-level density of states 4.2 states/eV per cell, total energy -54.087 eV/atom.